(1)
{"formula": "Zr3NbTe", "functional": "PBE", "state": "relaxed", "lattice_angstrom": [[-4.825, -0.785, -1.740], [1.872, -2.872, -3.895], [-0.373, -4.249, 2.954]], "species": ["Nb", "Te", "Zr", "Zr", "Zr"], "fractional_positions": [[0.500, 0.500, 0.500], [0.000, 0.000, 0.000], [0.000, 0.500, 0.000], [0.000, 0.000, 0.500], [0.500, 0.000, 0.000]], "magmom_total_mub_per_cell": 0.0, "relative_energy_ev_per_atom": 0.2140, "e_form_raw_ev_per_atom": 0.89}

(2)
{"formula": "Cs2Rb6BiO", "functional": "PBE", "state": "relaxed", "lattice_angstrom": [[9.634, 0.000, 2.907], [0.000, 8.837, 0.000], [3.922, 0.000, 16.291]], "species": ["Cs", "Cs", "Cs", "Cs", "Rb", "Rb", "Rb", "Rb", "Rb", "Rb", "Rb", "Rb", "Rb", "Rb", "Rb", "Rb", "Bi", "Bi", "O", "O"], "fractional_positions": [[0.189, 0.000, 0.252], [0.689, 0.500, 0.752], [0.811, 0.000, 0.748], [0.311, 0.500, 0.248], [0.214, 0.738, 0.984], [0.714, 0.762, 0.484], [0.786, 0.262, 0.016], [0.286, 0.238, 0.516], [0.286, 0.762, 0.515], [0.786, 0.738, 0.015], [0.714, 0.238, 0.485], [0.214, 0.262, 0.985], [0.873, 0.500, 0.188], [0.373, 0.000, 0.688], [0.127, 0.500, 0.812], [0.627, 0.000, 0.312], [0.500, 0.000, 0.000], [0.000, 0.500, 0.500], [0.500, 0.000, 0.500], [0.000, 0.500, 0.000]], "magmom_total_mub_per_cell": 0.0, "e_form_raw_ev_per_atom": -0.35}

no.,DOS at the Fermi energy (states/eV per atom)
1,0.94
2,0.50